Record 1
Here is an optimized crystal structure of Ce2Ga3PdAu4 from the Alexandria database. Energies are from PBE.

a = 4.289 Å, b = 4.289 Å, c = 11.329 Å
α = 90.00°, β = 90.00°, γ = 90.00°
Last column: magnetic moment on the atom in μB.
Fractional positions:
1 Ga 0.000 0.500 0.130  0.00
2 Ga 0.000 0.000 0.500  0.00
3 Ga 0.500 0.000 0.870  0.00
4 Ce 0.000 0.500 0.748  0.84
5 Ce 0.500 0.000 0.252  0.84
6 Au 0.000 0.000 0.000  0.00
7 Au 0.500 0.500 0.000  0.00
8 Au 0.500 0.000 0.648  0.00
9 Au 0.000 0.500 0.352  0.00
10 Pd 0.500 0.500 0.500  -0.01

Summary:
Fermi-level density of states in states/eV/cell: 16.67
Energy of formation in meV per atom: -552

---

Record 2
Here is an optimized crystal structure of Ce2Ga4PdAu3 from the Alexandria database. Energies are from PBE.

a = 4.429 Å, b = 4.429 Å, c = 10.421 Å
α = 90.00°, β = 90.00°, γ = 90.00°
Last column: magnetic moment on the atom in μB.
Fractional positions:
1 Ga 0.500 0.500 0.000  0.00
2 Ga 0.000 0.000 0.000  0.00
3 Ga 0.500 0.000 0.625  0.00
4 Ga 0.000 0.500 0.375  0.00
5 Au 0.000 0.500 0.134  0.00
6 Au 0.000 0.000 0.500  0.00
7 Au 0.500 0.000 0.866  0.00
8 Pd 0.500 0.500 0.500  0.00
9 Ce 0.500 0.000 0.252  0.82
10 Ce 0.000 0.500 0.748  0.82

Summary:
Fermi-level density of states in states/eV/cell: 15.21
Energy of formation in meV per atom: -632

---

Record 3
Here is an optimized crystal structure of CeGa3PdAu from the Alexandria database. Energies are from PBE.

a = 5.925 Å, b = 5.743 Å, c = 7.495 Å
α = 112.53°, β = 90.00°, γ = 90.00°
Last column: magnetic moment on the atom in μB.
Fractional positions:
1 Au 0.750 0.675 0.350  0.01
2 Au 0.250 0.325 0.650  0.01
3 Ga 0.000 0.282 0.000  0.00
4 Ga 0.000 0.718 0.000  0.00
5 Ga 0.750 0.876 0.752  0.01
6 Ga 0.500 0.718 0.000  0.00
7 Ga 0.500 0.282 0.000  0.00
8 Ga 0.250 0.124 0.248  0.01
9 Pd 0.750 0.102 0.204  -0.01
10 Pd 0.250 0.898 0.796  -0.01
11 Ce 0.750 0.301 0.601  0.72
12 Ce 0.250 0.699 0.399  0.72

Summary:
Fermi-level density of states in states/eV/cell: 14.51
Energy of formation in meV per atom: -424

---

Record 4
Here is an optimized crystal structure of CeGa2Pd5Au from the Alexandria database. Energies are from PBE.

a = 4.081 Å, b = 4.081 Å, c = 9.597 Å
α = 90.00°, β = 90.00°, γ = 90.00°
Last column: magnetic moment on the atom in μB.
Fractional positions:
1 Au 0.000 0.000 0.000  0.00
2 Ce 0.000 0.000 0.500  0.33
3 Pd 0.500 0.000 0.279  -0.01
4 Pd 0.500 0.500 0.500  -0.01
5 Pd 0.500 0.000 0.721  -0.01
6 Pd 0.000 0.500 0.279  -0.01
7 Pd 0.000 0.500 0.721  -0.01
8 Ga 0.500 0.500 0.875  0.00
9 Ga 0.500 0.500 0.125  0.00

Summary:
Fermi-level density of states in states/eV/cell: 4.88
Energy of formation in meV per atom: -516

---

| no. | E_tot (eV per atom) |
| --- | --- |
| 1 | -4.4769 |
| 2 | -4.5322 |
| 3 | -4.3384 |
| 4 | -5.0966 |